Record 1
Material: B7C5
Method: DFT, PBE
State: optimized geometry

a b c (Å): 2.6436 2.6436 15.3551
angles (deg): 90.00 90.00 120.00
Sites, in units of the cell vectors:
C: 0.3333 0.6667 0.6734
B: 0.0000 0.0000 0.5594
B: 0.6667 0.3333 0.7178
B: 0.6667 0.3333 0.8279
C: 0.3333 0.6667 0.0356
B: 0.3333 0.6667 0.1382
B: 0.0000 0.0000 0.3146
C: 0.3333 0.6667 0.5720
B: 0.0000 0.0000 0.8985
B: 0.6667 0.3333 0.2047
C: 0.6667 0.3333 0.3068
C: 0.0000 0.0000 0.0011

Output
ΔE to the lowest computed polymorph: 230 meV per atom
VASP energy: -88.12 eV per cell
D(E_F): 1.69 states/eV per cell

Record 2
Material: B3C7
Method: DFT, PBE
State: optimized geometry

a b c (Å): 10.1744 10.1744 10.1744
angles (deg): 165.92 165.77 20.07
Sites, in units of the cell vectors:
C: 0.1919 0.1919 0.0000
C: 0.4059 0.4059 0.0000
B: 0.7883 0.7883 0.0000
B: 0.8553 0.3553 0.5000
C: 0.0126 0.0126 0.0000
C: 0.2352 0.7352 0.5000
C: 0.6458 0.1458 0.5000
B: 0.4578 0.9578 0.5000
C: 0.0556 0.5556 0.5000
C: 0.6017 0.6017 0.0000

Output
ΔE to the lowest computed polymorph: 28 meV per atom
VASP energy: -81.70 eV per cell
D(E_F): 1.00 states/eV per cell

Record 3
Material: BC
Method: DFT, PBE
State: optimized geometry

a b c (Å): 4.4573 4.4573 6.3703
angles (deg): 105.69 105.69 32.12
Sites, in units of the cell vectors:
C: 0.8385 0.8385 0.2281
B: 0.0295 0.0295 0.0024
B: 0.1610 0.1610 0.8108
C: 0.7901 0.7901 0.4474
C: 0.0252 0.0252 0.2602
B: 0.5554 0.5554 0.6167
C: 0.3625 0.3625 0.5799
B: 0.3777 0.3777 0.8434
B: 0.2588 0.2588 0.0725
C: 0.6013 0.6013 0.3885

Output
ΔE to the lowest computed polymorph: 166 meV per atom
VASP energy: -76.34 eV per cell
D(E_F): 0.86 states/eV per cell

Record 4
Material: B7C5
Method: DFT, PBE
State: optimized geometry

a b c (Å): 2.7243 2.6572 11.7745
angles (deg): 90.00 90.00 90.00
Sites, in units of the cell vectors:
B: 0.5000 0.0000 0.2709
C: 0.0000 0.5000 0.0767
B: 0.0000 0.5000 0.4193
C: 0.5000 0.5000 0.4942
B: 0.5000 0.0000 0.5596
C: 0.0000 0.0000 0.3309
B: 0.0000 0.0000 0.6653
B: 0.5000 0.5000 0.1494
B: 0.5000 0.0000 0.9127
C: 0.5000 0.5000 0.8405
C: 0.0000 0.0000 0.0073
B: 0.0000 0.5000 0.7731

Output
ΔE to the lowest computed polymorph: 284 meV per atom
VASP energy: -87.48 eV per cell
D(E_F): 2.99 states/eV per cell

Record 5
Material: BC
Method: DFT, PBE
State: optimized geometry

a b c (Å): 2.4888 4.2910 7.5187
angles (deg): 89.85 90.00 90.00
Sites, in units of the cell vectors:
C: 0.0000 0.0283 0.9996
B: 0.5000 0.4754 0.8349
C: 0.0000 0.9872 0.6773
B: 0.5000 0.7808 0.3089
B: 0.5000 0.4681 0.1562
B: 0.5000 0.5234 0.5166
C: 0.0000 0.0272 0.3235
B: 0.5000 0.7808 0.0106
B: 0.0000 0.2083 0.5025
C: 0.0000 0.2147 0.8340
C: 0.5000 0.7804 0.6733
C: 0.0000 0.2255 0.1627

Output
ΔE to the lowest computed polymorph: 220 meV per atom
VASP energy: -90.96 eV per cell
D(E_F): 0.99 states/eV per cell

Record 6
Material: BC
Method: DFT, PBE
State: optimized geometry

a b c (Å): 4.8042 4.6246 5.3741
angles (deg): 104.23 103.57 43.76
Sites, in units of the cell vectors:
B: 0.5760 0.2099 0.4460
B: 0.2746 0.7562 0.7342
B: 0.3325 0.2462 0.1531
C: 0.5959 0.0456 0.9180
B: 0.7170 0.6808 0.3280
C: 0.9879 0.9574 0.9903
B: 0.1917 0.7453 0.2530
C: 0.8975 0.3781 0.0548
C: 0.9160 0.4441 0.5831
C: 0.6811 0.6516 0.8277
C: 0.0203 0.0374 0.5068
B: 0.3096 0.3473 0.7049

Output
ΔE to the lowest computed polymorph: 256 meV per atom
VASP energy: -90.53 eV per cell

Record 7
Material: B7C5
Method: DFT, PBE
State: optimized geometry

a b c (Å): 6.0220 6.0220 3.7140
angles (deg): 90.00 90.00 141.57
Sites, in units of the cell vectors:
B: 0.2425 0.8910 0.5457
C: 0.3208 0.1792 0.7500
C: 0.6792 0.8208 0.7500
C: 0.5000 0.0000 0.2500
B: 0.0000 0.5000 0.7500
C: 0.5000 0.5000 0.5120
B: 0.8256 0.6744 0.2500
B: 0.7575 0.1090 0.5457
B: 0.1744 0.3256 0.2500
B: 0.3910 0.7425 0.9543
B: 0.6090 0.2575 0.9543
C: 0.0000 0.0000 0.9880

Output
ΔE to the lowest computed polymorph: 255 meV per atom
VASP energy: -87.83 eV per cell
D(E_F): 3.41 states/eV per cell

Record 8
Material: BC
Method: DFT, PBE
State: optimized geometry

a b c (Å): 2.5294 2.4170 13.0461
angles (deg): 90.00 90.00 90.00
Sites, in units of the cell vectors:
C: 0.0000 0.0000 0.0227
C: 0.5000 0.0000 0.2578
B: 0.5000 0.5000 0.8388
B: 0.0000 0.0000 0.6357
B: 0.0000 0.5000 0.7396
B: 0.0000 0.0000 0.3326
C: 0.5000 0.5000 0.4887
B: 0.5000 0.5000 0.1728
B: 0.5000 0.0000 0.9426
C: 0.0000 0.5000 0.4219
C: 0.0000 0.5000 0.0876
C: 0.5000 0.0000 0.5590

Output
ΔE to the lowest computed polymorph: 213 meV per atom
VASP energy: -91.04 eV per cell
D(E_F): 2.19 states/eV per cell

Record 9
Material: BC
Method: DFT, PBE
State: optimized geometry

a b c (Å): 6.4281 6.4281 5.3172
angles (deg): 100.33 100.33 21.85
Sites, in units of the cell vectors:
B: 0.6558 0.6558 0.2975
B: 0.3270 0.3270 0.1197
C: 0.5802 0.5802 0.0285
B: 0.9307 0.9307 0.2138
B: 0.2502 0.2502 0.4070
C: 0.9925 0.9925 0.5086
C: 0.2360 0.2360 0.8725
C: 0.6657 0.6657 0.8323
B: 0.3372 0.3372 0.6906
C: 0.0067 0.0067 0.9910
C: 0.9327 0.9327 0.7285
B: 0.5854 0.5854 0.5601

Output
ΔE to the lowest computed polymorph: 295 meV per atom
VASP energy: -90.05 eV per cell
D(E_F): 2.18 states/eV per cell

Record 10
Material: B7C5
Method: DFT, PBE
State: optimized geometry

a b c (Å): 4.7136 4.8919 4.4398
angles (deg): 102.87 93.04 120.75
Sites, in units of the cell vectors:
C: 0.9648 0.9550 0.9862
C: 0.0568 0.7602 0.1127
B: 0.5748 0.4784 0.4888
B: 0.1999 0.5742 0.9105
C: 0.5597 0.2019 0.6550
B: 0.3007 0.3858 0.1536
C: 0.8230 0.1304 0.5459
B: 0.8528 0.1756 0.2036
B: 0.1810 0.8649 0.4891
B: 0.1902 0.4847 0.5208
B: 0.6690 0.3596 0.0389
C: 0.8774 0.8794 0.6449

Output
ΔE to the lowest computed polymorph: 275 meV per atom
VASP energy: -87.59 eV per cell
D(E_F): 2.74 states/eV per cell

Record 11
Material: BC
Method: DFT, PBE
State: optimized geometry

a b c (Å): 2.6366 2.6366 14.4558
angles (deg): 90.00 90.00 120.00
Sites, in units of the cell vectors:
C: 0.0000 0.0000 0.0142
C: 0.0000 0.0000 0.8989
B: 0.3333 0.6667 0.6646
C: 0.3333 0.6667 0.0490
B: 0.3333 0.6667 0.5437
B: 0.3333 0.6667 0.1612
B: 0.0000 0.0000 0.4726
B: 0.6667 0.3333 0.8826
C: 0.0000 0.0000 0.3675
C: 0.6667 0.3333 0.2102
C: 0.6667 0.3333 0.6671
B: 0.6667 0.3333 0.3183

Output
ΔE to the lowest computed polymorph: 302 meV per atom
VASP energy: -89.97 eV per cell
D(E_F): 2.59 states/eV per cell

Record 12
Material: BC
Method: DFT, PBE
State: optimized geometry

a b c (Å): 6.5230 7.7391 7.7391
angles (deg): 160.90 141.32 44.33
Sites, in units of the cell vectors:
C: 0.0016 0.3257 0.6760
C: 0.4999 0.5053 0.9946
B: 0.1369 0.1515 0.9854
B: 0.4802 0.1448 0.3354
C: 0.1234 0.7993 0.3240
C: 0.1306 0.4434 0.6872
C: 0.6251 0.6197 0.0054
B: 0.5237 0.8454 0.6783
B: 0.9881 0.9735 0.0146
B: 0.6013 0.2796 0.3217
B: 0.6448 0.9802 0.6646
C: 0.9944 0.6816 0.3128

Output
ΔE to the lowest computed polymorph: 217 meV per atom
VASP energy: -90.99 eV per cell
D(E_F): 1.15 states/eV per cell

> Among the records above, which one has the highest ΔE to the lowest computed polymorph?

number 11